<A>
Compound: Nb2InAs
Source: the Alexandria database
Functional: GGA-PBE
Structure: relaxed

It has space group I-42d (No. 122), with a = 4.019 Å, b = 4.019 Å, c = 19.956 Å, α = 90.00°, β = 90.00° and γ = 90.00°. The asymmetric unit holds Nb at (0.249, 0.250, 0.125), In at (0.000, 0.000, 0.000) and As at (0.000, 0.000, 0.500).

As for the total moment: 0.00 μB per formula unit. The density of states at the Fermi level is 7.08 states/eV/cell.

***

<B>
Compound: Nb2InAs
Source: the Alexandria database
Functional: GGA-PBE
Structure: relaxed

It has space group Fm-3m (No. 225), with a = 6.646 Å, b = 6.646 Å, c = 6.646 Å, α = 90.00°, β = 90.00° and γ = 90.00°. The asymmetric unit holds Nb at (0.250, 0.250, 0.250), In at (0.000, 0.000, 0.000) and As at (0.000, 0.000, 0.500).

As for the total moment: 0.00 μB per formula unit. The density of states at the Fermi level is 14.97 states/eV/cell.

***

Question: which arrangement is favored energetically? Ranking from most to least stable: <B>, <A>.

***

<A>
Compound: NbInAsSe2
Source: the Alexandria database
Functional: GGA-PBE
Structure: relaxed

It has space group P4/mmm (No. 123), with a = 5.221 Å, b = 5.221 Å, c = 5.378 Å, α = 90.00°, β = 90.00° and γ = 90.00°. The asymmetric unit holds Nb at (0.000, 0.000, 0.000), In at (0.500, 0.500, 0.500), As at (0.000, 0.000, 0.500) and Se at (0.000, 0.500, 0.000).

As for the total moment: 0.00 μB per formula unit. The density of states at the Fermi level is 2.52 states/eV/cell.

***

<B>
Compound: NbInAsSe2
Source: the Alexandria database
Functional: GGA-PBE
Structure: relaxed

It has space group P4/mmm (No. 123), with a = 5.251 Å, b = 5.251 Å, c = 5.169 Å, α = 90.00°, β = 90.00° and γ = 90.00°. The asymmetric unit holds Nb at (0.000, 0.000, 0.000), In at (0.500, 0.500, 0.500), As at (0.500, 0.500, 0.000) and Se at (0.000, 0.500, 0.500).

As for the total moment: 0.07 μB per formula unit. The density of states at the Fermi level is 6.45 states/eV/cell.

***

Question: which arrangement is favored energetically? Ranking from most to least stable: <A>, <B>.

***

<A>
Compound: Nd2InAs
Source: the Alexandria database
Functional: GGA-PBE
Structure: relaxed

It has space group R-3m (No. 166, hexagonal axes), with a = 4.1658 Å, b = 4.1658 Å, c = 24.1297 Å, α = 90.00°, β = 90.00° and γ = 120.00°. The asymmetric unit holds Nd at (0.0000, 0.0000, 0.2380), In at (0.0000, 0.0000, 0.0000) and As at (0.0000, 0.0000, 0.5000).

As for the total moment: 0.00 μB per formula unit. The density of states at the Fermi level is 5.48 states/eV/cell.

***

<B>
Compound: Nd2InAs
Source: the Alexandria database
Functional: GGA-PBE
Structure: relaxed

It has space group P4/mmm (No. 123), with a = 3.895 Å, b = 3.895 Å, c = 7.062 Å, α = 90.00°, β = 90.00° and γ = 90.00°. The asymmetric unit holds Nd at (0.000, 0.000, 0.231), In at (0.500, 0.500, 0.500) and As at (0.500, 0.500, 0.000).

As for the total moment: 0.00 μB per formula unit. The density of states at the Fermi level is 2.78 states/eV/cell.

***

Question: which arrangement is favored energetically? Ranking from most to least stable: <A>, <B>.